A plane-wave DFT calculation with PBE-GGA was carried out for crystalline NdVRu at its relaxed geometry.

Output
As for the total energy: -7.87 eV per atom. The value obtained for the volume is 21.0 Å³/atom. Its total magnetization is 0.0 μB/f.u. As for the energy of formation from the pure elements: -152 meV per atom.

abc: 4.2909 4.2909 6.8378
angles: 90.00 90.00 90.00
Space group P4/nmm (No. 129, origin choice 2)
One atom of each set of equivalent atoms:
Nd1 0.2500 0.2500 0.1560 x2
V1 0.2500 0.7500 0.5000 x2
Ru1 0.2500 0.2500 0.6772 x2

A plane-wave DFT calculation with PBE-GGA was carried out for crystalline NdVRu2 at its relaxed geometry.

Output
As for the total energy: -8.19 eV per atom. The value obtained for the volume is 17.3 Å³/atom. Its total magnetization is 0.0 μB/f.u. As for the energy of formation from the pure elements: -81 meV per atom.

abc: 3.1124 3.1124 7.1627
angles: 90.00 90.00 90.00
Space group P4/mmm (No. 123)
One atom of each set of equivalent atoms:
Nd1 0.0000 0.0000 0.0000 x1
V1 0.0000 0.0000 0.5000 x1
Ru1 0.5000 0.5000 0.3044 x2

A plane-wave DFT calculation with PBE-GGA was carried out for crystalline NdRu2W at its relaxed geometry.

Output
As for the total energy: -9.05 eV per atom. The value obtained for the volume is 18.3 Å³/atom. Its total magnetization is 0.0 μB/f.u. As for the energy of formation from the pure elements: 18 meV per atom.

abc: 3.1366 3.1366 7.4568
angles: 90.00 90.00 90.00
Space group P4/mmm (No. 123)
One atom of each set of equivalent atoms:
Nd1 0.0000 0.0000 0.0000 x1
Ru1 0.5000 0.5000 0.3040 x2
W1 0.0000 0.0000 0.5000 x1